Record 1
Entry from Alexandria: MgSiBr after structural relaxation (PBE).

formation energy from raw total energies: -0.6743 eV/atom

POSCAR file:
```
MgSiBr
1.0
-0.0535 -3.6421 -0.9848
2.9586 -1.5140 -1.7866
5.1403 -3.7660 10.3216
Mg Si Br
2 2 2
Direct
0.1903 0.2224 0.1682
0.7777 0.8595 0.5720
0.4918 0.5437 0.3268
0.1423 0.2040 0.4103
0.8806 0.8989 0.0410
0.4201 0.5158 0.6993
```

***

Record 2
Entry from Alexandria: MgSi2Br after structural relaxation (PBE).

formation energy from raw total energies: -0.3122 eV/atom

POSCAR file:
```
MgSi2Br
1.0
-1.1847 -2.8978 -2.2041
2.2933 -1.3878 -2.7338
3.2941 -6.4142 3.3445
Br Mg Si
1 1 2
Direct
0.4751 0.4751 0.5741
0.7412 0.7412 0.7764
0.9915 0.9915 0.0258
0.2923 0.2923 0.1236
```

***

Record 3
Entry from Alexandria: Mg2SiBr after structural relaxation (PBE).

formation energy from raw total energies: -0.3454 eV/atom

POSCAR file:
```
Mg2SiBr
1.0
-0.1368 0.2748 3.3158
1.8655 -3.1194 0.3355
6.3877 3.8116 -0.0524
Br Mg Si
1 2 1
Direct
0.5000 0.7500 0.7500
0.0000 0.7501 0.0504
0.0000 0.7499 0.4496
0.5000 0.2500 0.2500
```

***

Record 4
Entry from Alexandria: Mg4SiBr after structural relaxation (PBE).

formation energy from raw total energies: 0.1622 eV/atom

POSCAR file:
```
Mg4SiBr
1.0
3.5703 -0.9573 4.4762
-1.5763 -3.6329 4.2447
2.6458 -5.1373 0.5554
Mg Si Br
4 1 1
Direct
0.8718 0.3761 0.3761
0.3761 0.3761 0.8718
0.3761 0.8718 0.3761
0.3761 0.3761 0.3761
0.7500 0.7500 0.7500
0.0000 0.0000 0.0000
```

***

Record 5
Entry from Alexandria: Mg2SiBr after structural relaxation (PBE).

formation energy from raw total energies: 0.3255 eV/atom

POSCAR file:
```
Mg2SiBr
1.0
-0.3506 -1.6420 -4.7131
2.4689 -4.1189 -1.4043
-2.5175 -4.2058 -1.0031
Br Mg Si
1 2 1
Direct
0.5000 0.5000 0.5000
0.0000 0.0000 0.0000
0.2500 0.2500 0.2500
0.7500 0.7500 0.7500
```

***

Record 6
Entry from Alexandria: MgSiBr after structural relaxation (PBE).

formation energy from raw total energies: -0.6287 eV/atom

POSCAR file:
```
MgSiBr
1.0
-0.3059 -3.6477 1.0675
3.1249 -2.1619 0.3167
1.5788 2.6457 12.1732
Mg Si Br
2 2 2
Direct
0.4371 0.8227 0.1427
0.7196 0.0874 0.5778
0.4144 0.7887 0.3492
0.0722 0.4444 0.4220
0.7852 0.1734 0.0239
0.3713 0.7352 0.7020
```

***

Record 7
Entry from Alexandria: Mg2SiBr after structural relaxation (PBE).

formation energy from raw total energies: -0.2717 eV/atom

POSCAR file:
```
Mg2SiBr
1.0
7.7729 0.0032 0.0154
6.1060 4.8098 -0.0154
-6.9219 -2.4571 2.5432
Br Mg Si
1 2 1
Direct
0.7081 0.2081 0.5000
0.0203 0.0203 0.0000
0.3174 0.8174 0.5000
0.4541 0.4541 0.0000
```

***

Record 8
Entry from Alexandria: MgSi2Br after structural relaxation (PBE).

formation energy from raw total energies: 0.4647 eV/atom

POSCAR file:
```
MgSi2Br
1.0
3.2314 0.0000 0.0000
0.0000 3.2314 0.0000
0.0000 0.0000 7.5836
Br Mg Si
1 1 2
Direct
0.5000 0.5000 0.2500
0.5000 0.5000 0.7500
0.0000 0.0000 0.9796
0.0000 0.0000 0.5204
```

***

Record 9
Entry from Alexandria: MgSi2Br after structural relaxation (PBE).

formation energy from raw total energies: 0.3968 eV/atom

POSCAR file:
```
MgSi2Br
1.0
-1.9509 -2.1267 -3.8108
4.3147 -1.9215 -0.7365
-2.0633 -0.7135 4.2526
Br Mg Si
1 1 2
Direct
0.5000 0.5000 0.0000
0.7500 0.2500 0.5000
0.0000 0.0000 0.0000
0.2500 0.7500 0.5000
```

***

Record 10
Entry from Alexandria: Mg2SiBr after structural relaxation (PBE).

formation energy from raw total energies: -0.2236 eV/atom

POSCAR file:
```
Mg2SiBr
1.0
3.4597 0.0000 0.0000
0.0000 3.2793 0.0000
0.0000 0.0000 7.5422
Br Mg Si
1 2 1
Direct
0.5000 0.5000 0.7500
0.0000 0.0000 0.0365
0.0000 0.0000 0.4635
0.5000 0.5000 0.2500
```

***

Record 11
Entry from Alexandria: MgSi2Br after structural relaxation (PBE).

formation energy from raw total energies: 0.1817 eV/atom

POSCAR file:
```
MgSi2Br
1.0
-4.4106 -0.9570 5.3642
0.4537 -0.4548 6.9808
1.6532 3.2536 -5.9854
Br Mg Si
1 1 2
Direct
0.2500 0.7500 0.5000
0.7500 0.2500 0.5000
0.0000 0.0000 0.0000
0.5000 0.5000 0.0000
```

***

Record 12
Entry from Alexandria: MgSi2Br after structural relaxation (PBE).

formation energy from raw total energies: 0.1604 eV/atom

POSCAR file:
```
MgSi2Br
1.0
-0.1031 3.5394 -0.7492
-2.4690 0.5004 2.7038
4.6726 1.0001 4.0818
Br Mg Si
1 1 2
Direct
0.5000 0.0000 0.5000
0.0000 0.5000 0.5000
0.0000 0.0000 0.0000
0.5000 0.5000 0.0000
```

***

Record 13
Entry from Alexandria: Mg2SiBr after structural relaxation (PBE).

formation energy from raw total energies: -0.2790 eV/atom

POSCAR file:
```
Mg2SiBr
1.0
-1.0271 -2.0008 -3.3144
3.6005 0.7666 -1.5785
1.9916 -4.7369 2.2423
Br Mg Si
1 2 1
Direct
0.5000 0.5000 0.8750
0.0000 0.0000 0.8749
0.5000 0.5000 0.3750
0.0000 0.0000 0.3751
```

***

Record 14
Entry from Alexandria: MgSi2Br8 after structural relaxation (PBE).

formation energy from raw total energies: -0.6625 eV/atom

POSCAR file:
```
MgSi2Br8
1.0
6.5276 0.4098 0.3109
0.5381 8.2683 -0.6688
0.5381 1.5823 8.1430
Mg Si Br
1 2 8
Direct
0.0000 0.0000 0.0000
0.6876 0.7908 0.7908
0.3124 0.2092 0.2092
0.2045 0.2656 0.9377
0.7955 0.0623 0.7344
0.3062 0.8172 0.8172
0.6938 0.1828 0.1828
0.2045 0.9377 0.2656
0.7955 0.7344 0.0623
0.8668 0.6085 0.6085
0.1332 0.3915 0.3915
```

***

Record 15
Entry from Alexandria: MgSiBr after structural relaxation (PBE).

formation energy from raw total energies: -0.0436 eV/atom

POSCAR file:
```
MgSiBr
1.0
-1.3244 1.9354 2.4922
2.8002 -1.8751 0.5947
4.7021 6.2699 -2.3703
Br Mg Si
1 1 1
Direct
0.0000 0.0000 0.1064
0.6667 0.3333 0.3124
0.3333 0.6667 0.5813
```

***

Record 16
Entry from Alexandria: MgSiBr after structural relaxation (PBE).

formation energy from raw total energies: -0.5590 eV/atom

POSCAR file:
```
MgSiBr
1.0
-0.9960 3.2470 -1.0197
-2.5781 -0.0260 2.4354
6.9723 4.4379 7.4280
Mg Si Br
2 2 2
Direct
0.0845 0.5000 0.8303
0.5810 0.0000 0.4306
0.0834 0.0000 0.6304
0.5834 0.5000 0.6304
0.5815 0.0000 0.9552
0.0767 0.5000 0.3056
```

***

Record 17
Entry from Alexandria: MgSi2Br after structural relaxation (PBE).

formation energy from raw total energies: -0.1067 eV/atom

POSCAR file:
```
MgSi2Br
1.0
-0.5860 -3.4344 -0.1640
3.3824 -0.6057 0.5980
-1.4029 -0.1332 7.8000
Br Mg Si
1 1 2
Direct
0.0000 0.0000 0.5888
0.5000 0.5000 0.7608
0.0000 0.0000 0.0614
0.5000 0.5000 0.0890
```

***

Record 18
Entry from Alexandria: MgSiBr3 after structural relaxation (PBE).

formation energy from raw total energies: -0.2314 eV/atom

POSCAR file:
```
MgSiBr3
1.0
-3.6563 3.8575 -0.1211
-0.2168 -0.3719 -5.2989
-3.8533 -3.6393 0.4131
Si Mg Br
1 1 3
Direct
0.0000 0.0000 0.0000
0.5000 0.5000 0.5000
0.0000 0.5000 0.0000
0.0000 0.0000 0.5000
0.5000 0.0000 0.0000
```

***

Record 19
Entry from Alexandria: MgSi2Br after structural relaxation (PBE).

formation energy from raw total energies: 0.2310 eV/atom

POSCAR file:
```
MgSi2Br
1.0
6.3082 -0.0084 0.0004
3.7810 5.0495 -0.0004
-4.5688 -3.4728 2.6190
Br Mg Si
1 1 2
Direct
0.5251 0.5251 0.0000
0.2043 0.7043 0.5000
0.9716 0.9716 0.0000
0.7990 0.2990 0.5000
```

***

Record 20
Entry from Alexandria: MgSi2Br after structural relaxation (PBE).

formation energy from raw total energies: 0.4424 eV/atom

POSCAR file:
```
MgSi2Br
1.0
-4.3472 -0.2310 -3.7873
5.4682 -1.6417 -0.8355
-0.7233 -2.9223 1.0084
Br Mg Si
1 1 2
Direct
0.5000 0.0000 0.5000
0.0000 0.5000 0.5000
0.0000 0.0000 0.0000
0.5000 0.5000 0.0000
```

***

Record 21
Entry from Alexandria: MgSi2Br after structural relaxation (PBE).

formation energy from raw total energies: 0.0152 eV/atom

POSCAR file:
```
MgSi2Br
1.0
5.6279 0.0000 0.0000
0.0000 3.9268 -0.0465
0.0000 0.7454 3.8533
Br Mg Si
1 1 2
Direct
0.5000 0.2500 0.2500
0.5000 0.7500 0.7500
0.0000 0.9431 0.9432
0.0000 0.5569 0.5568
```

***

Record 22
Entry from Alexandria: Mg2SiBr after structural relaxation (PBE).

formation energy from raw total energies: 0.0547 eV/atom

POSCAR file:
```
Mg2SiBr
1.0
6.3813 0.0967 0.0000
3.8251 5.1087 0.0000
-5.1032 -2.6027 2.8131
Br Mg Si
1 2 1
Direct
0.7500 0.2500 0.5000
0.0000 0.0000 0.0000
0.2500 0.7500 0.5000
0.5000 0.5000 0.0000
```

***

Record 23
Entry from Alexandria: MgSiBr after structural relaxation (PBE).

formation energy from raw total energies: -0.6967 eV/atom

POSCAR file:
```
MgSiBr
1.0
12.2500 0.0000 0.1133
0.0000 3.8026 0.0000
-1.2701 0.0000 6.4607
Mg Si Br
4 4 4
Direct
0.3012 0.0000 0.2654
0.6988 0.0000 0.7346
0.3012 0.5000 0.7654
0.6988 0.5000 0.2346
0.4577 0.0000 0.6522
0.5423 0.0000 0.3478
0.4577 0.5000 0.1522
0.5423 0.5000 0.8478
0.1748 0.0000 0.8888
0.8252 0.0000 0.1112
0.1748 0.5000 0.3888
0.8252 0.5000 0.6112
```

***

Record 24
Entry from Alexandria: MgSiBr after structural relaxation (PBE).

formation energy from raw total energies: 0.4792 eV/atom

POSCAR file:
```
MgSiBr
1.0
-1.6633 2.8360 3.5892
0.9986 -1.1027 4.6345
3.0909 2.7651 2.5479
Br Mg Si
1 1 1
Direct
0.0000 0.0000 0.0000
0.5000 0.5000 0.5000
0.7500 0.7500 0.7500
```

***

Record 25
Entry from Alexandria: MgSiBr after structural relaxation (PBE).

formation energy from raw total energies: 0.2661 eV/atom

POSCAR file:
```
MgSiBr
1.0
-2.3265 3.5651 2.2070
-2.0354 -4.3261 -0.3665
1.3634 -0.8843 2.8656
Br Mg Si
1 1 1
Direct
0.0000 0.0000 0.1693
0.6667 0.3333 0.1645
0.3333 0.6667 0.6662
```

***

Record 26
Entry from Alexandria: MgSiBr after structural relaxation (PBE).

formation energy from raw total energies: -0.6967 eV/atom

POSCAR file:
```
MgSiBr
1.0
12.2008 0.0000 0.0242
0.0000 3.8040 0.0000
-1.2993 0.0000 6.4555
Si Mg Br
4 4 4
Direct
0.4574 0.0000 0.8179
0.5426 0.0000 0.1821
0.4574 0.5000 0.3179
0.5426 0.5000 0.6821
0.3001 0.0000 0.0938
0.6999 0.0000 0.9062
0.3001 0.5000 0.5938
0.6999 0.5000 0.4062
0.1728 0.0000 0.3812
0.8272 0.0000 0.6188
0.1728 0.5000 0.8812
0.8272 0.5000 0.1188
```

***

Record 27
Entry from Alexandria: Mg2SiBr after structural relaxation (PBE).

formation energy from raw total energies: -0.1890 eV/atom

POSCAR file:
```
Mg2SiBr
1.0
-0.2764 0.8364 5.3458
2.5136 -4.6758 1.0826
3.0452 0.8204 0.9321
Br Mg Si
1 2 1
Direct
0.0000 0.5000 0.5000
0.0000 0.0000 0.0000
0.5000 0.5000 0.0000
0.5000 0.0000 0.5000
```

***

Record 28
Entry from Alexandria: MgSiBr after structural relaxation (PBE).

formation energy from raw total energies: 0.4157 eV/atom

POSCAR file:
```
MgSiBr
1.0
4.7562 0.0000 0.0000
2.3781 4.1190 0.0000
2.3781 1.3730 3.8834
Br Mg Si
1 1 1
Direct
0.5000 0.5000 0.5000
0.7500 0.7500 0.7500
0.0000 0.0000 0.0000
```

***

Record 29
Entry from Alexandria: MgSi2Br after structural relaxation (PBE).

formation energy from raw total energies: 0.0015 eV/atom

POSCAR file:
```
MgSi2Br
1.0
7.0572 -0.0343 0.0212
5.8984 3.8748 0.0212
-0.0124 -0.0037 3.4060
Br Mg Si
1 1 2
Direct
0.2500 0.2500 0.2500
0.7500 0.7500 0.7500
0.9534 0.9534 0.7509
0.5466 0.5466 0.7491
```